! Er3Tm8Th4 (GGA-PBE, relaxed); values from VASP
&SYSTEM
  ibrav = 0, nat = 15, ntyp = 3
/
ATOMIC_SPECIES
Tm 168.93 Tm.upf
Er 167.26 Er.upf
Th 232.04 Th.upf
CELL_PARAMETERS angstrom
-0.711 -6.980 9.169
5.879 -0.399 -7.089
0.858 9.176 -0.189
ATOMIC_POSITIONS angstrom
Tm 4.215 -0.512 3.778
Er 2.584 -3.690 1.040
Th 0.429 4.588 -0.094
Tm 4.733 3.152 -0.929
Tm 4.259 -1.479 -0.768
Tm 4.055 3.080 -4.582
Er 0.073 1.098 4.490
Th -0.356 -3.490 4.585
Tm 1.292 -1.355 2.820
Er 3.013 0.898 0.945
Tm 1.810 2.309 -1.887
Tm 2.682 5.698 -2.696
Th 2.939 -0.200 -3.545
Tm 1.766 3.276 2.659
Th 0.000 0.000 0.000
! Energy of formation, meV per atom: 443.6
! Energy, eV per atom: -4.832
! Size of the total moment, μB per atom: 0.00